(1)
First-principles (GGA-PBE) data for a geometry-optimized CeThPb2 structure, as listed in Alexandria via LeMat-Bulk.

Calculated formation energy (eV per atom): -0.333
Energy above the lowest structure with this stoichiometry (meV per atom): 12.1
Electronic total energy (hartree per atom): -0.2031
Crystal system: tetragonal
SG: P4/mmm

Lattice parameters (Å, degrees): 4.5738 5.0969 5.0969 90.00 90.00 90.00
Closest atoms and distances in Å follow each position.
Element x y z (fractional)
Pb 0.0000 0.5000 0.0000  4 Th 3.42, 4 Ce 3.42, 4 Pb 3.60
Ce 0.5000 0.0000 0.0000  8 Pb 3.42, 4 Th 3.60
Th 0.5000 0.5000 0.5000  8 Pb 3.42, 4 Ce 3.60
Pb 0.0000 0.0000 0.5000  4 Th 3.42, 4 Ce 3.42, 4 Pb 3.60


(2)
First-principles (GGA-PBE) data for a geometry-optimized Ce4ThPb structure, as listed in Alexandria via LeMat-Bulk.

Calculated formation energy (eV per atom): 0.085
Electronic total energy (hartree per atom): -0.2104
Crystal system: cubic
SG: F-43m

Lattice parameters (Å, degrees): 6.2009 6.2009 6.2009 60.00 60.00 60.00
Closest atoms and distances in Å follow each position.
Element x y z (fractional)
Ce 0.6211 0.1366 0.6211  6 Ce 3.00-3.20
Ce 0.1366 0.6211 0.6211  6 Ce 3.00-3.20
Ce 0.6211 0.6211 0.6211  6 Ce 3.00-3.20
Pb 0.0000 0.0000 0.0000  12 Ce 3.65, 4 Th 3.80
Ce 0.6211 0.6211 0.1366  6 Ce 3.00-3.20
Th 0.2500 0.2500 0.2500  12 Ce 3.63, 4 Pb 3.80